Entry 1:
# Sr8HgPd2

Crystalline Sr8HgPd2 at its relaxed geometry (PBE, Alexandria via LeMat-Bulk).

Space-group type = Cm
ΔE_f = -0.307 eV/atom

Cell: 6.5983 8.6121 8.6121 Å, 111.89 98.43 98.43°
Atoms (fractional coordinates):
1 Sr 0.3896 0.6635 0.9335
2 Sr 0.7894 0.6314 0.6314
3 Sr 0.9846 0.7699 0.2316
4 Sr 0.3896 0.9335 0.6635
5 Sr 0.5744 0.0727 0.3399
6 Sr 0.5744 0.3399 0.0727
7 Sr 0.9846 0.2316 0.7699
8 Sr 0.1885 0.3772 0.3772
9 Pd 0.4923 0.3160 0.6926
10 Pd 0.4923 0.6926 0.3160
11 Hg 0.1397 0.0056 0.0056

---

Entry 2:
# Sr3Hg2Pd4

Crystalline Sr3Hg2Pd4 at its relaxed geometry (PBE, Alexandria via LeMat-Bulk).

Space-group type = C2/m
E above lowest polymorph = 0.0 kJ per mole of atoms
ΔE_f = -0.573 eV/atom

Cell: 4.6886 5.8760 9.1051 Å, 97.65 90.00 113.51°
Atoms (fractional coordinates):
1 Pd 0.2674 0.5347 0.9166
2 Pd 0.7326 0.4653 0.0834
3 Pd 0.9166 0.8333 0.3695
4 Pd 0.0834 0.1667 0.6305
5 Sr 0.3758 0.7516 0.6192
6 Sr 0.6242 0.2484 0.3808
7 Sr 0.0000 0.0000 0.0000
8 Hg 0.3139 0.6278 0.2315
9 Hg 0.6861 0.3722 0.7685

---

Entry 3:
# Sr2HgPd

Crystalline Sr2HgPd at its relaxed geometry (PBE, Alexandria via LeMat-Bulk).

Space-group type = R3m
ΔE_f = -0.467 eV/atom

Cell: 4.4769 4.4769 8.2037 Å, 74.17 74.17 60.00°
Atoms (fractional coordinates):
1 Hg 0.5027 0.5027 0.4919
2 Sr 0.0713 0.0713 0.7862
3 Sr 0.2621 0.2621 0.2137
4 Pd 0.6639 0.6639 0.0082

---

Entry 4:
# Sr2Hg3Pd4

Crystalline Sr2Hg3Pd4 at its relaxed geometry (PBE, Alexandria via LeMat-Bulk).

Space-group type = Cmce
ΔE_f = -0.484 eV/atom

Cell: 6.0670 7.7666 9.0790 Å, 90.00 109.52 90.00°
Atoms (fractional coordinates):
1 Pd 0.8360 0.0126 0.6720
2 Pd 0.8230 0.2500 0.1459
3 Pd 0.6640 0.5126 0.3280
4 Pd 0.3360 0.4874 0.6720
5 Pd 0.6770 0.7500 0.8541
6 Pd 0.1640 0.9874 0.3280
7 Pd 0.3230 0.2500 0.1459
8 Pd 0.1770 0.7500 0.8541
9 Sr 0.3962 0.0870 0.7924
10 Sr 0.6038 0.9130 0.2076
11 Sr 0.8962 0.4130 0.7924
12 Sr 0.1038 0.5870 0.2076
13 Hg 0.5000 0.5000 0.0000
14 Hg 0.0000 0.0000 0.0000
15 Hg 0.5111 0.7500 0.5222
16 Hg 0.0111 0.7500 0.5222
17 Hg 0.9889 0.2500 0.4778
18 Hg 0.4889 0.2500 0.4778